(1)
An optimized crystal structure of Be4NiPt2, computed with PBE.

The structure belongs to space group I4/mmm (No. 139); the cell edges are 3.8709, 3.8709 and 11.5422 Å and the angles 90.00°, 90.00° and 90.00°. The inequivalent atoms are Be at (0.0000, 0.0000, 0.1831), Be at (0.0000, 0.5000, 0.0000), Ni at (0.0000, 0.0000, 0.0000) and Pt at (0.0000, 0.0000, 0.3756).

The calculation puts the size of the total moment at 0.00 Bohr magnetons per cell. Its crystal system is tetragonal. As for the formation enthalpy at 0 K: 26 meV per atom.


(2)
An optimized crystal structure of NbRe3Bi, computed with PBE.

The structure belongs to space group Pm-3m (No. 221); the cell edges are 4.8619, 4.8619 and 4.8619 Å and the angles 90.00°, 90.00° and 90.00°. The inequivalent atoms are Nb at (0.0000, 0.0000, 0.0000), Re at (0.0000, 0.5000, 0.5000) and Bi at (0.5000, 0.5000, 0.5000).

The calculation puts the size of the total moment at 0.00 Bohr magnetons per cell. Its crystal system is cubic. As for the formation enthalpy at 0 K: 3024 meV per atom. The offset from the most stable computed form is 884 meV/atom.


(3)
An optimized crystal structure of Pu2AlIn, computed with PBE.

The structure belongs to space group P4/mmm (No. 123); the cell edges are 4.3792, 4.3792 and 4.8567 Å and the angles 90.00°, 90.00° and 90.00°. The inequivalent atoms are Pu at (0.0000, 0.5000, 0.0000), Al at (0.0000, 0.0000, 0.5000) and In at (0.5000, 0.5000, 0.5000).

The calculation puts the size of the total moment at 11.20 Bohr magnetons per cell. Its crystal system is tetragonal. As for the formation enthalpy at 0 K: -157 meV per atom. The offset from the most stable computed form is 0 meV/atom.


(4)
An optimized crystal structure of Sc2HgHPt, computed with PBE.

The structure belongs to space group P4/mmm (No. 123); the cell edges are 4.7454, 4.7454 and 3.6374 Å and the angles 90.00°, 90.00° and 90.00°. The inequivalent atoms are Sc at (0.0000, 0.5000, 0.0000), Hg at (0.0000, 0.0000, 0.5000), H at (0.5000, 0.5000, 0.0000) and Pt at (0.5000, 0.5000, 0.5000).

The calculation puts the size of the total moment at 0.00 Bohr magnetons per cell. Its crystal system is tetragonal.


(5)
An optimized crystal structure of SrLi2TlNi, computed with PBE.

The structure belongs to space group P4/mmm (No. 123); the cell edges are 4.8964, 4.8964 and 5.0284 Å and the angles 90.00°, 90.00° and 90.00°. The inequivalent atoms are Sr at (0.0000, 0.0000, 0.0000), Li at (0.0000, 0.5000, 0.5000), Tl at (0.5000, 0.5000, 0.0000) and Ni at (0.5000, 0.5000, 0.5000).

The calculation puts the size of the total moment at 0.00 Bohr magnetons per cell. Its crystal system is tetragonal. As for the formation enthalpy at 0 K: -45 meV per atom.


(6)
An optimized crystal structure of CaIn2ReAg, computed with PBE.

The structure belongs to space group P4/mmm (No. 123); the cell edges are 5.1510, 5.1510 and 5.2439 Å and the angles 90.00°, 90.00° and 90.00°. The inequivalent atoms are Ca at (0.0000, 0.0000, 0.0000), In at (0.0000, 0.5000, 0.5000), Re at (0.5000, 0.5000, 0.5000) and Ag at (0.5000, 0.5000, 0.0000).

The calculation puts the size of the total moment at 0.00 Bohr magnetons per cell. Its crystal system is tetragonal. As for the formation enthalpy at 0 K: 429 meV per atom.


(7)
An optimized crystal structure of Nd2In2Rh5Pb, computed with PBE.

The structure belongs to space group P4/mbm (No. 127); the cell edges are 10.2752, 10.2752 and 3.8028 Å and the angles 90.00°, 90.00° and 90.00°. The inequivalent atoms are Nd at (0.1724, 0.3276, 0.0000), In at (0.1253, 0.6253, 0.0000), Rh at (0.0000, 0.5000, 0.5000), Rh at (0.0643, 0.7987, 0.5000) and Pb at (0.0000, 0.0000, 0.0000).

The calculation puts the size of the total moment at 0.00 Bohr magnetons per cell. Its crystal system is tetragonal. As for the formation enthalpy at 0 K: -412 meV per atom.


(8)
An optimized crystal structure of SrSbF2, computed with PBE.

The structure belongs to space group Fm-3m (No. 225); the cell edges are 6.8509, 6.8509 and 6.8509 Å and the angles 90.00°, 90.00° and 90.00°. The inequivalent atoms are Sr at (0.0000, 0.0000, 0.0000), Sb at (0.0000, 0.0000, 0.5000) and F at (0.2500, 0.2500, 0.2500).

The calculation puts the size of the total moment at 4.32 Bohr magnetons per cell. Its crystal system is cubic. The raw formation energy is -1.690 eV/atom. The offset from the most stable computed form is 767 meV/atom.


Calculated DOS at the Fermi energy, 0.358, 0.879, 2.637, 0.525, 0.387, 0.567, 0.313, 0.866 states/eV/atom (same order as the records).
Calculated E, -0.3422, -0.5318, -0.6573, -0.3771, -0.2040, -0.3033, -0.4380, -0.2996 Ry/atom (same order as the records).
Calculated mass density, 9.31, 12.43, 11.23, 9.86, 5.02, 6.73, 10.26, 5.11 Mg/m³ (same order as the records).